1.
The following is a PBE calculation of a geometry-optimized Zn2O structure, from OQMD via LeMat-Bulk.

Lattice parameters (Å, degrees): 3.829 3.829 3.829 60.00 60.00 60.00
Fractional positions:
Zn1 0.750 0.750 0.750
O1 0.000 0.000 0.000
Zn2 0.250 0.250 0.250

***

2.
The following is a PBE calculation of a geometry-optimized Zn4O11 structure, from OQMD via LeMat-Bulk.

Lattice parameters (Å, degrees): 10.750 5.632 3.462 101.23 93.67 122.36
Fractional positions:
O1 0.681 0.874 0.559
Zn1 0.601 0.726 0.000
Zn2 0.892 0.026 0.615
O2 0.745 0.438 0.417
O3 0.251 0.851 0.172
O4 0.403 0.660 0.693
O5 0.618 0.229 0.201
Zn3 0.342 0.956 0.717
O6 0.950 0.962 0.099
O7 0.919 0.448 0.250
Zn4 0.073 0.829 0.079
O8 0.552 0.310 0.906
O9 0.255 0.232 0.843
O10 0.995 0.457 0.578
O11 0.261 0.403 0.617

***

3.
The following is a PBE calculation of a geometry-optimized Zr2Zn2O5 structure, from OQMD via LeMat-Bulk.

Lattice parameters (Å, degrees): 7.978 3.692 3.692 90.00 90.00 90.00
Fractional positions:
Zr1 0.500 0.000 0.000
O1 0.160 0.500 0.000
O2 0.500 0.500 0.500
Zn1 0.249 0.500 0.500
O3 0.160 0.000 0.500
Zn2 0.751 0.500 0.500
O4 0.840 0.500 0.000
O5 0.840 0.000 0.500
Zr2 0.000 0.000 0.000

***

Raw total energy, record by record: -2.71 -4.37 -6.59 eV per atom